1.
VASP calculation (PBE-GGA) on a geometry-optimized TlOsClO4 structure.

Computed properties:
Formation energy (no corrections) = -0.93 eV per atom

```
data_TlOsClO4
_space_group_name_H-M_alt 'C 1 2/m 1'
_space_group_IT_number 12
_space_group_name_Hall '-C 2y'
_cell_length_a 13.023
_cell_length_b 8.378
_cell_length_c 7.496
_cell_angle_alpha 90.00
_cell_angle_beta 108.74
_cell_angle_gamma 90.00
loop_
_atom_site_label
_atom_site_type_symbol
_atom_site_fract_x
_atom_site_fract_y
_atom_site_fract_z
_atom_site_occupancy
Tl1 Tl 0.163 0.000 0.019 1
Os1 Os 0.136 0.500 0.293 1
Cl1 Cl 0.042 0.000 0.269 1
O1 O 0.003 0.500 0.799 1
O2 O 0.176 0.500 0.536 1
O3 O 0.189 0.335 0.214 1
```

---

2.
VASP calculation (PBE-GGA) on a geometry-optimized Tm3OsCl2O6 structure.

Computed properties:
Formation energy (no corrections) = -2.25 eV per atom

```
data_Tm3OsCl2O6
_space_group_name_H-M_alt 'C 1 2/m 1'
_space_group_IT_number 12
_space_group_name_Hall '-C 2y'
_cell_length_a 11.233
_cell_length_b 6.442
_cell_length_c 5.444
_cell_angle_alpha 90.00
_cell_angle_beta 99.92
_cell_angle_gamma 90.00
loop_
_atom_site_label
_atom_site_type_symbol
_atom_site_fract_x
_atom_site_fract_y
_atom_site_fract_z
_atom_site_occupancy
Tm1 Tm 0.000 0.000 0.000 1
Tm2 Tm 0.250 0.250 0.500 1
Os1 Os 0.000 0.500 0.500 1
Cl1 Cl 0.207 0.000 0.849 1
O1 O 0.059 0.260 0.295 1
O2 O 0.170 0.500 0.673 1
```